LiMnSiO4, relaxed, DFT PBE+U; calculated density = 3.73 g/cm³; polymorph energy (0 for the lowest one) = 71.1 meV/atom; space-group type = Imma (74); E = -0.5230 Ry/atom
1.0
-2.7217 2.8974 4.3455
2.7217 -2.8974 4.3455
2.7217 2.8974 -4.3455
Li Mn Si O
2 2 2 8
Cartesian
0.0000 1.4487 1.0231 Li
2.7217 1.4487 3.3224 Li
2.7217 0.0000 0.0000 Mn
0.0000 0.0000 4.3455 Mn
1.3609 1.4487 -2.1727 Si
1.3609 -1.4487 2.1727 Si
2.7217 2.6535 -2.1953 O
2.7217 -0.2439 2.1953 O
1.4331 1.4487 -0.3230 O
4.0103 1.4487 -0.3230 O
-1.2886 1.4487 4.6684 O
1.2886 1.4487 4.6684 O
0.0000 3.1413 2.1501 O
0.0000 0.2439 6.5408 O